Record 1
Here is a geometry-optimized BaNa2I structure from Alexandria via LeMat-Bulk. Energies are from GGA-PBE.

```
BaNa2I
1.0
-3.231 2.119 2.256
-4.140 -1.695 0.099
0.064 -5.495 9.687
Na I Ba
2 1 1
Cartesian
-0.389 -4.484 8.090
-2.003 -0.873 2.387
-4.906 0.265 1.599
-3.663 -2.515 5.989
```

## Properties
volume	187.8	Å³/cell
raw formation energy	-1.95	eV/f.u.
distance to the lowest polymorph of the same formula	0.000	eV per atom

=====

Record 2
Here is a geometry-optimized BaNa3I6 structure from Alexandria via LeMat-Bulk. Energies are from GGA-PBE.

```
BaNa3I6
1.0
-2.735 -3.366 -2.064
6.825 1.340 -11.233
6.416 -9.566 7.100
I Na Ba
12 6 2
Cartesian
9.495 -9.007 -0.688
2.204 -2.906 -0.976
5.807 -7.353 1.502
1.557 -6.725 0.523
8.950 -4.866 -6.719
4.699 -4.239 -7.699
5.694 -9.386 4.967
8.302 -8.686 -5.220
1.012 -2.585 -5.508
4.813 -2.206 -11.164
5.801 -4.153 -3.709
4.706 -7.439 -2.488
6.533 -10.061 -0.633
10.878 -8.444 -3.439
3.974 -1.531 -5.564
-0.371 -3.148 -2.757
4.342 -5.038 -0.332
6.165 -6.554 -5.865
7.605 -2.370 -9.009
2.901 -9.222 2.812
```

## Properties
volume	826.1	Å³/cell
raw formation energy	-11.94	eV/f.u.